No. 1
This record from Alexandria describes Li2SmErS4 after structural relaxation. The functional is PBE.

Output
space-group type = No. 10
VASP energy = -5.531 eV/atom
uncorrected formation energy = -1828 meV/atom

a = 3.9429 Å, b = 6.8300 Å, c = 6.5867 Å
α = 110.20°, β = 90.00°, γ = 90.00°
Closest atoms and distances in Å follow each position.
Fractional coordinates of all 8 atoms:
Er  0.5000  0.5000  0.0000  6 S 2.72-2.73
S  0.0000  0.2568  0.7499  3 Li 2.71-2.77, 2 Er 2.73, 1 Sm 2.79
S  0.5000  0.7420  0.7468  3 Li 2.72-2.78, 1 Er 2.72, 2 Sm 2.78
S  0.5000  0.2580  0.2532  3 Li 2.72-2.78, 1 Er 2.72, 2 Sm 2.78
Li  0.0000  0.5000  0.5000  6 S 2.71-2.72
S  0.0000  0.7432  0.2501  3 Li 2.71-2.77, 2 Er 2.73, 1 Sm 2.79
Li  0.5000  0.0000  0.5000  6 S 2.77-2.78
Sm  0.0000  0.0000  0.0000  6 S 2.78-2.79

No. 2
This record from Alexandria describes Li4SmEr3S8 after structural relaxation. The functional is PBE.

Output
space-group type = No. 166
VASP energy = -5.535 eV/atom
uncorrected formation energy = -1843 meV/atom

a = 7.8213 Å, b = 7.6508 Å, c = 7.8202 Å
α = 120.76°, β = 120.00°, γ = 90.00°
Closest atoms and distances in Å follow each position.
Fractional coordinates of all 16 atoms:
S  0.7494  0.7480  0.4988  3 Er 2.73, 3 Li 2.74
S  0.2539  0.7510  0.5077  3 Li 2.69-2.75, 2 Er 2.72, 1 Sm 2.78
S  0.2506  0.2520  0.5012  3 Er 2.73, 3 Li 2.74
Li  0.0000  0.0000  0.5000  6 S 2.74-2.75
Li  0.5000  0.0000  0.0000  6 S 2.69
S  0.7461  0.2490  0.4923  3 Li 2.69-2.75, 2 Er 2.72, 1 Sm 2.78
S  0.7461  0.2489  0.0025  3 Li 2.69-2.75, 2 Er 2.72, 1 Sm 2.78
Er  0.5000  0.5000  0.0000  6 S 2.72-2.73
S  0.7436  0.7511  0.9975  3 Li 2.69-2.75, 2 Er 2.72, 1 Sm 2.78
Li  0.0000  0.0000  0.0000  6 S 2.74-2.75
S  0.2564  0.2489  0.0025  3 Li 2.69-2.75, 2 Er 2.72, 1 Sm 2.78
S  0.2539  0.7511  0.9975  3 Li 2.69-2.75, 2 Er 2.72, 1 Sm 2.78
Sm  0.0000  0.5000  0.0000  6 S 2.78
Er  0.5000  0.5000  0.5000  6 S 2.72-2.73
Er  0.0000  0.5000  0.5000  6 S 2.72-2.73
Li  0.5000  0.0000  0.5000  6 S 2.74-2.75

No. 3
This record from Alexandria describes LiSmEr4S8 after structural relaxation. The functional is PBE.

Output
space-group type = No. 160
VASP energy = -6.098 eV/atom
uncorrected formation energy = -1962 meV/atom

a = 7.9532 Å, b = 7.9532 Å, c = 8.0268 Å
α = 60.30°, β = 60.30°, γ = 60.00°
Closest atoms and distances in Å follow each position.
Fractional coordinates of all 14 atoms:
S  0.7587  0.7587  0.7240  4 Er 2.62-2.79
S  0.2426  0.2426  0.2723  1 Li 2.62, 3 Er 2.69
S  0.2276  0.7534  0.2656  3 Er 2.59-2.78, 1 Sm 2.84
Er  0.6260  0.6260  0.1220  4 S 2.59-2.62
S  0.2475  0.7686  0.7364  1 Li 2.56, 2 Er 2.68, 1 Sm 2.75
Li  0.3753  0.3753  0.8741  4 S 2.56-2.62
Er  0.0047  0.4860  0.5046  6 S 2.68-2.79
S  0.7534  0.7534  0.2656  3 Er 2.59-2.78, 1 Sm 2.84
Er  0.4860  0.0047  0.5046  6 S 2.68-2.79
S  0.7534  0.2276  0.2656  3 Er 2.59-2.78, 1 Sm 2.84
Er  0.0047  0.0047  0.5046  6 S 2.68-2.79
S  0.2475  0.2475  0.7364  1 Li 2.56, 2 Er 2.68, 1 Sm 2.75
S  0.7686  0.2475  0.7364  1 Li 2.56, 2 Er 2.68, 1 Sm 2.75
Sm  0.0041  0.0041  0.9877  6 S 2.75-2.84

No. 4
This record from Alexandria describes Li3SmEr2S6 after structural relaxation. The functional is PBE.

Output
space-group type = No. 12
VASP energy = -5.535 eV/atom
uncorrected formation energy = -1839 meV/atom

a = 6.7915 Å, b = 6.7915 Å, c = 6.5795 Å
α = 99.89°, β = 99.89°, γ = 120.01°
Closest atoms and distances in Å follow each position.
Fractional coordinates of all 12 atoms:
S  0.0832  0.4244  0.2501  3 Li 2.67-2.76, 2 Er 2.72, 1 Sm 2.79
Li  0.8306  0.1694  0.5000  6 S 2.67-2.78
Li  0.5000  0.5000  0.5000  6 S 2.69-2.76
S  0.4244  0.0832  0.2501  3 Li 2.67-2.76, 2 Er 2.72, 1 Sm 2.79
Li  0.1694  0.8306  0.5000  6 S 2.67-2.78
Er  0.3335  0.6665  0.0000  6 S 2.72
Er  0.6665  0.3335  0.0000  6 S 2.72
Sm  0.0000  0.0000  0.0000  6 S 2.79
S  0.2575  0.2575  0.7485  3 Li 2.69-2.78, 2 Er 2.72, 1 Sm 2.79
S  0.9168  0.5756  0.7499  3 Li 2.67-2.76, 2 Er 2.72, 1 Sm 2.79
S  0.7425  0.7425  0.2515  3 Li 2.69-2.78, 2 Er 2.72, 1 Sm 2.79
S  0.5756  0.9168  0.7499  3 Li 2.67-2.76, 2 Er 2.72, 1 Sm 2.79

No. 5
This record from Alexandria describes LiSm3Er3S8 after structural relaxation. The functional is PBE.

Output
space-group type = No. 166
VASP energy = -6.175 eV/atom
uncorrected formation energy = -1990 meV/atom

a = 7.8011 Å, b = 7.8004 Å, c = 7.8473 Å
α = 119.80°, β = 90.00°, γ = 120.00°
Closest atoms and distances in Å follow each position.
Fractional coordinates of all 15 atoms:
S  0.7473  0.9921  0.7370  1 Li 2.71, 2 Er 2.72, 2 Sm 2.81
S  0.7462  0.4925  0.7387  3 Er 2.72, 3 Sm 2.81
S  0.7554  0.0079  0.2632  1 Li 2.71, 2 Er 2.72, 2 Sm 2.81
S  0.2527  0.0079  0.2630  1 Li 2.71, 2 Er 2.72, 2 Sm 2.81
Sm  0.0000  0.5000  0.0000  6 S 2.81
Sm  0.0000  0.0000  0.0000  6 S 2.81
S  0.2538  0.5075  0.2613  3 Er 2.72, 3 Sm 2.81
Er  0.5000  0.5000  0.5000  6 S 2.72
S  0.7553  0.5106  0.2631  1 Li 2.71, 2 Er 2.72, 2 Sm 2.81
Sm  0.5000  0.5000  0.0000  6 S 2.81
Er  0.0000  0.5000  0.5000  6 S 2.72
S  0.2446  0.9921  0.7368  1 Li 2.71, 2 Er 2.72, 2 Sm 2.81
S  0.2447  0.4894  0.7369  1 Li 2.71, 2 Er 2.72, 2 Sm 2.81
Er  0.5000  0.0000  0.5000  6 S 2.72
Li  0.0000  0.0000  0.5000  6 S 2.71

No. 6
This record from Alexandria describes LiErSnS4 after structural relaxation. The functional is PBE.

Output
space-group type = No. 74
VASP energy = -5.049 eV/atom
uncorrected formation energy = -1193 meV/atom

a = 7.6537 Å, b = 7.7466 Å, c = 7.7466 Å
α = 60.84°, β = 60.40°, γ = 60.40°
Closest atoms and distances in Å follow each position.
Fractional coordinates of all 14 atoms:
Li  0.3858  0.3642  0.8642  4 S 2.42-2.59
S  0.2282  0.7639  0.2639  1 Li 2.42, 1 Sn 2.59, 2 Er 2.70
S  0.2560  0.2361  0.7361  1 Li 2.42, 1 Sn 2.59, 2 Er 2.70
Sn  0.5000  0.0000  0.5000  6 S 2.59-2.63
Er  0.0000  0.0000  0.0000  6 S 2.70-2.75
S  0.7497  0.7709  0.7296  1 Li 2.59, 2 Sn 2.63, 1 Er 2.75
Sn  0.0000  0.0000  0.5000  6 S 2.59-2.63
Er  0.0000  0.5000  0.5000  6 S 2.70-2.75
S  0.2503  0.7704  0.7291  1 Li 2.59, 2 Sn 2.63, 1 Er 2.75
S  0.7497  0.2296  0.2709  1 Li 2.59, 2 Sn 2.63, 1 Er 2.75
Li  0.6142  0.6358  0.1358  4 S 2.42-2.59
S  0.7440  0.7639  0.2639  1 Li 2.42, 1 Sn 2.59, 2 Er 2.70
S  0.2503  0.2291  0.2704  1 Li 2.59, 2 Sn 2.63, 1 Er 2.75
S  0.7718  0.2361  0.7361  1 Li 2.42, 1 Sn 2.59, 2 Er 2.70

No. 7
This record from Alexandria describes Li3Er3SnS8 after structural relaxation. The functional is PBE.

Output
space-group type = No. 166
VASP energy = -5.311 eV/atom
uncorrected formation energy = -1547 meV/atom

a = 7.7192 Å, b = 7.7186 Å, c = 7.6182 Å
α = 120.46°, β = 90.00°, γ = 120.00°
Closest atoms and distances in Å follow each position.
Fractional coordinates of all 15 atoms:
S  0.2513  0.5026  0.2541  3 Er 2.70, 3 Li 2.72-2.73
S  0.7600  0.9964  0.2565  1 Sn 2.60, 2 Li 2.69, 2 Er 2.73
Sn  0.0000  0.0000  0.5000  6 S 2.60
S  0.7599  0.5199  0.2565  1 Sn 2.60, 2 Li 2.69, 2 Er 2.73
Er  0.0000  0.5000  0.5000  6 S 2.70-2.73
Li  0.0000  0.0000  0.0000  6 S 2.69-2.72
S  0.2365  0.9964  0.2565  1 Sn 2.60, 2 Li 2.69, 2 Er 2.73
S  0.7487  0.4974  0.7459  3 Er 2.70, 3 Li 2.72-2.73
Li  0.5000  0.5000  0.0000  6 S 2.69-2.73
Er  0.5000  0.0000  0.5000  6 S 2.70-2.73
S  0.2401  0.4801  0.7435  1 Sn 2.60, 2 Li 2.69, 2 Er 2.73
S  0.2400  0.0036  0.7435  1 Sn 2.60, 2 Li 2.69, 2 Er 2.73
Er  0.5000  0.5000  0.5000  6 S 2.70-2.73
S  0.7635  0.0036  0.7435  1 Sn 2.60, 2 Li 2.69, 2 Er 2.73
Li  0.0000  0.5000  0.0000  6 S 2.69-2.73

No. 8
This record from Alexandria describes Sr3LiEr2S6 after structural relaxation. The functional is PBE.

Output
space-group type = No. 12
VASP energy = -5.388 eV/atom
uncorrected formation energy = -1984 meV/atom

a = 7.0086 Å, b = 7.0086 Å, c = 7.0754 Å
α = 99.48°, β = 99.48°, γ = 119.99°
Closest atoms and distances in Å follow each position.
Fractional coordinates of all 12 atoms:
Er  0.6672  0.3328  0.0000  6 S 2.76
Er  0.3328  0.6672  0.0000  6 S 2.76
Li  0.0000  0.0000  0.0000  6 S 2.80-2.81
Sr  0.8360  0.1640  0.5000  6 S 2.96-2.98
S  0.2636  0.2636  0.7770  2 Er 2.76, 1 Li 2.80, 3 Sr 2.95-2.97
S  0.7364  0.7364  0.2230  2 Er 2.76, 1 Li 2.80, 3 Sr 2.95-2.97
Sr  0.1640  0.8360  0.5000  6 S 2.96-2.98
S  0.9246  0.5861  0.7745  2 Er 2.76, 1 Li 2.81, 3 Sr 2.96-2.98
S  0.5861  0.9246  0.7745  2 Er 2.76, 1 Li 2.81, 3 Sr 2.96-2.98
S  0.0754  0.4139  0.2255  2 Er 2.76, 1 Li 2.81, 3 Sr 2.96-2.98
Sr  0.5000  0.5000  0.5000  6 S 2.95-2.98
S  0.4139  0.0754  0.2255  2 Er 2.76, 1 Li 2.81, 3 Sr 2.96-2.98

- What is the formula in the second record?
  Li4SmEr3S8

- What is the formula in the sixth record?
  LiErSnS4

- Which formula does entry 1 have?
  Li2SmErS4